(1)
Computed, not measured: La2ZnGaPd after structural relaxation at the PBE-GGA level of DFT.

```
La2ZnGaPd
1.0
-2.3615 -5.1825 -1.1621
2.5006 -1.9679 3.6947
-4.3958 1.1934 3.6108
Ga Pd La Zn
1 1 2 1
Direct
0.0000 0.5000 0.0000
0.0000 0.0000 0.0000
0.0000 0.0000 0.5000
0.5000 0.0000 0.0000
0.5000 0.5000 0.5000
```

Computed properties:
Mass density = 5.23 g/cm³
ΔE_f = -0.24 eV/atom



(2)
Computed, not measured: LaZrGa2Pd5 after structural relaxation at the PBE-GGA level of DFT.

```
LaZrGa2Pd5
1.0
4.1789 0.0000 0.0000
0.0000 4.1789 0.0000
0.0000 0.0000 9.3773
Pd Ga Zr La
5 2 1 1
Direct
0.0000 0.5000 0.7320
0.0000 0.5000 0.2680
0.5000 0.5000 0.5000
0.5000 0.0000 0.7320
0.5000 0.0000 0.2680
0.5000 0.5000 0.8736
0.5000 0.5000 0.1264
0.0000 0.0000 0.0000
0.0000 0.0000 0.5000
```

Computed properties:
Mass density = 9.14 g/cm³
ΔE_f = -0.63 eV/atom



(3)
Computed, not measured: LaZrGa5Pd2 after structural relaxation at the PBE-GGA level of DFT.

```
LaZrGa5Pd2
1.0
4.8749 0.0000 0.0000
0.0000 4.8749 0.0000
0.0000 0.0000 7.6774
Pd Zr Ga La
2 1 5 1
Direct
0.5000 0.5000 0.1737
0.5000 0.5000 0.8263
0.0000 0.0000 0.0000
0.0000 0.5000 0.2129
0.5000 0.5000 0.5000
0.5000 0.0000 0.2129
0.5000 0.0000 0.7871
0.0000 0.5000 0.7871
0.0000 0.0000 0.5000
```

Computed properties:
Mass density = 7.20 g/cm³
ΔE_f = -0.39 eV/atom



(4)
Computed, not measured: LaPm2Ga3 after structural relaxation at the PBE-GGA level of DFT.

```
LaPm2Ga3
1.0
3.6942 0.0000 0.0000
0.0000 3.6942 0.0000
0.0000 0.0000 11.1569
La Ga Pm
1 3 2
Direct
0.5000 0.5000 0.5000
0.0000 0.0000 0.3239
0.0000 0.0000 0.6761
0.0000 0.0000 0.0000
0.5000 0.5000 0.1636
0.5000 0.5000 0.8364
```

Computed properties:
Energy above the most stable polymorph in this dataset = 0.0000 eV per atom
Mass density = 6.96 g/cm³
ΔE_f = -0.57 eV/atom



(5)
Computed, not measured: La2Pm2Ga after structural relaxation at the PBE-GGA level of DFT.

```
La2Pm2Ga
1.0
-4.1360 5.0101 5.6120
-6.0914 2.1454 0.1618
-4.4853 -3.2004 7.2602
Pm Ga La
4 2 4
Direct
0.6559 0.3822 0.7335
0.0381 0.6178 0.7335
0.3441 0.6178 0.2665
0.9619 0.3822 0.2665
0.1521 0.6959 0.0000
0.8479 0.3041 0.0000
0.2448 0.0000 0.5958
0.6045 0.0000 0.1209
0.3955 0.0000 0.8791
0.7552 0.0000 0.4042
```

Computed properties:
Energy above the most stable polymorph in this dataset = 0.0000 eV per atom
Mass density = 6.73 g/cm³
ΔE_f = -0.17 eV/atom



(6)
Computed, not measured: LaPm5Ga4 after structural relaxation at the PBE-GGA level of DFT.

```
LaPm5Ga4
1.0
-2.1153 2.9168 -0.5117
-2.7700 -2.1712 -0.9256
-5.8569 -0.8305 19.4758
Ga La Pm
4 1 5
Direct
0.0000 0.0000 0.7766
0.0000 0.0000 0.5916
0.0000 0.0000 0.4084
0.0000 0.0000 0.2234
0.0000 0.0000 0.0000
0.5000 0.5000 0.1352
0.5000 0.5000 0.5000
0.5000 0.5000 0.6827
0.5000 0.5000 0.8648
0.5000 0.5000 0.3173
```

Computed properties:
Mass density = 7.04 g/cm³
ΔE_f = -0.44 eV/atom



(7)
Computed, not measured: LaPmGa2 after structural relaxation at the PBE-GGA level of DFT.

```
LaPmGa2
1.0
-2.1189 0.2193 -3.2025
0.2381 -2.7709 -2.6569
-7.2271 -5.3119 2.1082
Ga Pm La
2 1 1
Direct
0.7478 0.7478 0.7565
0.2522 0.2522 0.2435
0.0000 0.0000 0.0000
0.5000 0.5000 0.5000
```

Computed properties:
Mass density = 6.14 g/cm³
ΔE_f = -0.36 eV/atom



(8)
Computed, not measured: La4PmGa5 after structural relaxation at the PBE-GGA level of DFT.

```
La4PmGa5
1.0
3.7459 0.0000 0.0000
0.0000 3.7459 0.0000
0.0000 0.0000 18.8118
Ga La Pm
5 4 1
Direct
0.5000 0.5000 0.7020
0.5000 0.5000 0.2980
0.5000 0.5000 0.9067
0.5000 0.5000 0.0933
0.5000 0.5000 0.5000
0.0000 0.0000 0.1968
0.0000 0.0000 0.3990
0.0000 0.0000 0.6010
0.0000 0.0000 0.8032
0.0000 0.0000 0.0000
```

Computed properties:
Mass density = 6.60 g/cm³
ΔE_f = -0.57 eV/atom



(9)
Computed, not measured: LaPmGa2 after structural relaxation at the PBE-GGA level of DFT.

```
LaPmGa2
1.0
-0.0122 -3.4659 -3.9678
1.4850 -4.9827 0.8501
-3.5744 -3.8688 -0.1073
Pm La Ga
1 1 2
Direct
0.2500 0.2500 0.2500
0.7500 0.7500 0.7500
0.0000 0.0000 0.0000
0.5000 0.5000 0.5000
```

Computed properties:
Mass density = 6.80 g/cm³
ΔE_f = -0.56 eV/atom



(10)
Computed, not measured: LaPmGa4 after structural relaxation at the PBE-GGA level of DFT.

```
LaPmGa4
1.0
4.1203 0.0000 -1.2723
-0.3929 4.1016 -1.2723
0.2367 0.2604 8.0744
Ga Pm La
4 1 1
Direct
0.6678 0.1678 0.3355
0.5842 0.5842 0.1685
0.4158 0.4158 0.8315
0.8322 0.3322 0.6645
0.2500 0.7500 0.5000
0.0000 0.0000 0.0000
```

Computed properties:
Energy above the most stable polymorph in this dataset = 0.0135 eV per atom
Mass density = 6.71 g/cm³
ΔE_f = -0.69 eV/atom



(11)
Computed, not measured: LaPmGa4 after structural relaxation at the PBE-GGA level of DFT.

```
LaPmGa4
1.0
-1.0679 -5.0306 -2.3657
3.8855 -4.1110 0.2154
-0.8611 -4.5398 3.2699
Ga La Pm
4 1 1
Direct
0.6249 0.1252 0.6249
0.6249 0.6249 0.6249
0.6249 0.6249 0.1252
0.1252 0.6249 0.6249
0.2500 0.2500 0.2500
0.0000 0.0000 0.0000
```

Computed properties:
Energy above the most stable polymorph in this dataset = 0.1240 eV per atom
Mass density = 7.29 g/cm³
ΔE_f = -0.58 eV/atom



(12)
Computed, not measured: La3Pm4Ga4 after structural relaxation at the PBE-GGA level of DFT.

```
La3Pm4Ga4
1.0
-1.1278 3.4321 -2.8283
-7.2782 0.4474 3.4453
7.2880 3.8273 5.4596
La Ga Pm
3 4 4
Direct
0.1059 0.1059 0.2119
0.8941 0.8941 0.7881
0.0000 0.5000 0.0000
0.5000 0.1845 0.0000
0.7714 0.2714 0.5428
0.5000 0.8155 0.0000
0.2286 0.7286 0.4572
0.3327 0.1250 0.6654
0.6673 0.4596 0.3346
0.3327 0.5404 0.6654
0.6673 0.8750 0.3346
```

Computed properties:
Mass density = 6.56 g/cm³
ΔE_f = -0.37 eV/atom



(13)
Computed, not measured: La5PmGa2 after structural relaxation at the PBE-GGA level of DFT.

```
La5PmGa2
1.0
4.5001 0.0000 0.0000
2.2501 7.4876 -0.8101
2.2501 1.4802 7.3844
Ga Pm La
2 1 5
Direct
0.2879 0.2121 0.2121
0.7121 0.7879 0.7879
0.0000 0.0000 0.0000
0.6533 0.1465 0.5468
0.0000 0.5000 0.5000
0.6533 0.5468 0.1465
0.3467 0.4532 0.8535
0.3467 0.8535 0.4532
```

Computed properties:
Energy above the most stable polymorph in this dataset = 0.0000 eV per atom
Mass density = 6.39 g/cm³
ΔE_f = -0.19 eV/atom



(14)
Computed, not measured: La3Pm2Ga3 after structural relaxation at the PBE-GGA level of DFT.

```
La3Pm2Ga3
1.0
6.8807 0.0000 0.0000
0.0000 8.9414 0.0000
0.0000 -4.4707 7.7435
La Ga Pm
6 6 4
Direct
0.2500 0.2438 0.2438
0.2500 0.7562 0.0000
0.7500 0.2438 0.0000
0.7500 0.7562 0.7562
0.2500 0.0000 0.7562
0.7500 0.0000 0.2438
0.2500 0.0000 0.4043
0.7500 0.4043 0.4043
0.7500 0.5957 0.0000
0.2500 0.4043 0.0000
0.2500 0.5957 0.5957
0.7500 0.0000 0.5957
0.0000 0.6667 0.3333
0.0000 0.3333 0.6667
0.5000 0.3333 0.6667
0.5000 0.6667 0.3333
```

Computed properties:
Energy above the most stable polymorph in this dataset = 0.0000 eV per atom
Mass density = 6.38 g/cm³
ΔE_f = -0.43 eV/atom



(15)
Computed, not measured: LaPm2Ga after structural relaxation at the PBE-GGA level of DFT.

```
LaPm2Ga
1.0
4.8117 0.0000 0.0000
0.0000 4.8886 0.0000
0.0000 0.0000 4.8886
Pm Ga La
2 1 1
Direct
0.0000 0.5000 0.0000
0.0000 0.0000 0.5000
0.5000 0.0000 0.0000
0.5000 0.5000 0.5000
```

Computed properties:
Energy above the most stable polymorph in this dataset = 0.0194 eV per atom
Mass density = 7.20 g/cm³
ΔE_f = -0.24 eV/atom



(16)
Computed, not measured: LaPmGa6 after structural relaxation at the PBE-GGA level of DFT.

```
LaPmGa6
1.0
-3.4222 1.3063 2.5543
0.2829 -5.2300 3.0538
4.0252 2.5925 4.0670
Ga La Pm
6 1 1
Direct
0.0000 0.1409 0.2478
0.5000 0.8632 0.7348
0.5000 0.8632 0.2652
0.0000 0.1409 0.7522
0.0000 0.7564 0.5000
0.5000 0.2323 0.0000
0.0000 0.6160 0.0000
0.5000 0.3870 0.5000
```

Computed properties:
Energy above the most stable polymorph in this dataset = 0.0580 eV per atom
Mass density = 6.86 g/cm³
ΔE_f = -0.53 eV/atom



(17)
Computed, not measured: La5PmGa2 after structural relaxation at the PBE-GGA level of DFT.

```
La5PmGa2
1.0
5.4920 0.0000 0.0000
-2.7460 4.7562 0.0000
0.0000 0.0000 20.0885
Ga La Pm
4 10 2
Direct
0.3333 0.6667 0.0982
0.3333 0.6667 0.4018
0.6667 0.3333 0.9018
0.6667 0.3333 0.5982
0.0000 0.0000 0.3476
0.0000 0.0000 0.1524
0.0000 0.0000 0.8476
0.3333 0.6667 0.7500
0.3333 0.6667 0.9430
0.6667 0.3333 0.2500
0.6667 0.3333 0.4430
0.3333 0.6667 0.5570
0.6667 0.3333 0.0570
0.0000 0.0000 0.6524
0.3333 0.6667 0.2500
0.6667 0.3333 0.7500
```

Computed properties:
Energy above the most stable polymorph in this dataset = 0.0032 eV per atom
Mass density = 6.20 g/cm³
ΔE_f = -0.18 eV/atom



(18)
Computed, not measured: LaPm2Ga after structural relaxation at the PBE-GGA level of DFT.

```
LaPm2Ga
1.0
-0.7970 4.1359 -3.3961
-5.9250 -2.8582 2.2197
-0.1074 4.4672 5.4656
Ga La Pm
2 2 4
Direct
0.1783 0.3565 0.2500
0.8217 0.6435 0.7500
0.9387 0.8775 0.2500
0.0613 0.1225 0.7500
0.3603 0.7205 0.5240
0.6397 0.2795 0.0240
0.6397 0.2795 0.4760
0.3603 0.7205 0.9760
```

Computed properties:
Energy above the most stable polymorph in this dataset = 0.0389 eV per atom
Mass density = 6.78 g/cm³
ΔE_f = -0.22 eV/atom



(19)
Computed, not measured: LaPm8Ga6 after structural relaxation at the PBE-GGA level of DFT.

```
LaPm8Ga6
1.0
-3.3562 2.4926 -7.8644
-6.6204 -4.6708 -3.6985
-7.5209 2.8941 -0.9165
Ga Pm La
6 8 1
Direct
0.7181 0.3953 0.8295
0.3953 0.0572 0.8295
0.6047 0.9428 0.1705
0.9428 0.2819 0.1705
0.0572 0.7181 0.8295
0.2819 0.6047 0.1705
0.7816 0.1143 0.6607
0.2184 0.8857 0.3393
0.8857 0.5566 0.3393
0.3323 0.3323 0.0031
0.5566 0.2184 0.3393
0.1143 0.4434 0.6607
0.6677 0.6677 0.9969
0.4434 0.7816 0.6607
0.0000 0.0000 0.0000
```

Computed properties:
Mass density = 6.62 g/cm³
ΔE_f = -0.36 eV/atom



(20)
Computed, not measured: LaPm2Ga after structural relaxation at the PBE-GGA level of DFT.

```
LaPm2Ga
1.0
-4.1888 3.3843 0.7833
-4.5835 -1.8288 2.2934
-1.3312 1.5608 5.0403
Ga Pm La
1 2 1
Direct
0.5000 0.5000 0.5000
0.2500 0.2500 0.2500
0.7500 0.7500 0.7500
0.0000 0.0000 0.0000
```

Computed properties:
Energy above the most stable polymorph in this dataset = 0.2015 eV per atom
Mass density = 7.27 g/cm³
ΔE_f = -0.06 eV/atom